A plane-wave DFT calculation with PBE was carried out for crystalline BaTcB2C at its relaxed geometry.

Lattice parameters (Å, degrees): 4.1055 4.1055 6.0727 90.00 90.00 90.00
Closest atoms and distances in Å follow each position.
Space group P4/mmm (No. 123)
One atom of each set of equivalent atoms:
Ba (0.0000, 0.0000, 0.0000)  4 C 2.90, 2 Tc 3.04
Tc (0.0000, 0.0000, 0.5000)  4 B 2.05
B (0.0000, 0.5000, 0.5000)  2 Tc 2.05
C (0.5000, 0.5000, 0.0000)  4 Ba 2.90

Output
* ΔE_f: 1.7434 eV per atom

=====

A plane-wave DFT calculation with PBE was carried out for crystalline Y6Si2SbSe3 at its relaxed geometry.

Lattice parameters (Å, degrees): 18.1671 4.1623 8.3766 90.00 103.11 90.00
Closest atoms and distances in Å follow each position.
Space group C2/m (No. 12)
One atom of each set of equivalent atoms:
Y (0.0066, 0.0000, 0.2606)  1 Si 2.84, 3 Se 2.91-3.02, 2 Sb 3.00
Y (0.1708, 0.5000, 0.1014)  2 Si 2.87, 3 Se 2.92-3.04, 1 Sb 3.03
Y (0.1710, 0.5000, 0.5757)  3 Si 2.86-2.89, 3 Se 3.02-3.03
Si (0.1673, 0.0000, 0.3354)  6 Y 2.84-2.89
Sb (0.0000, 0.5000, 0.0000)  6 Y 3.00-3.03
Se (0.0000, 0.5000, 0.5000)  6 Y 2.91-3.03
Se (0.1643, 0.0000, 0.8340)  6 Y 2.92-3.04

Output
* energy relative to the elements, uncorrected: -16.7 eV/f.u.

=====

A plane-wave DFT calculation with PBE was carried out for crystalline PaAlS2 at its relaxed geometry.

Lattice parameters (Å, degrees): 3.4237 3.4237 24.6784 90.00 90.00 120.00
Closest atoms and distances in Å follow each position.
Space group R-3m (No. 166, hexagonal axes)
One atom of each set of equivalent atoms:
Pa (0.0000, 0.0000, 0.0000)  2 S 2.75
Al (0.0000, 0.0000, 0.5000)  6 S 2.40
S (0.0000, 0.0000, 0.1113)  3 Al 2.40

Output
* energy relative to the elements, uncorrected: -2.9 eV/f.u.

=====

A plane-wave DFT calculation with PBE was carried out for crystalline CaTc2As at its relaxed geometry.

Lattice parameters (Å, degrees): 3.0155 4.8103 9.7025 90.00 90.00 90.00
Closest atoms and distances in Å follow each position.
Space group Immm (No. 71)
One atom of each set of equivalent atoms:
Ca (0.0000, 0.0000, 0.0000)  4 As 2.84, 2 Ca 3.02, 4 Tc 3.15
Tc (0.0000, 0.5000, 0.2090)  2 As 2.53
As (0.0000, 0.0000, 0.5000)  4 Tc 2.53

Output
* ΔE_f: 0.2188 eV per atom

=====

A plane-wave DFT calculation with PBE was carried out for crystalline Pr2RhS at its relaxed geometry.

Lattice parameters (Å, degrees): 4.0586 4.0586 21.5878 90.00 90.00 120.00
Closest atoms and distances in Å follow each position.
Space group R-3m (No. 166, hexagonal axes)
One atom of each set of equivalent atoms:
Pr (0.0000, 0.0000, 0.2469)  3 Rh 2.91, 3 S 3.00
Rh (0.0000, 0.0000, 0.5000)  6 Pr 2.91
S (0.0000, 0.0000, 0.0000)  6 Pr 3.00

Output
* E above lowest polymorph: 0.078 eV per atom
* energy relative to the elements, uncorrected: -4.9 eV/f.u.

=====

A plane-wave DFT calculation with PBE was carried out for crystalline ZrCdRu2Br at its relaxed geometry.

Lattice parameters (Å, degrees): 4.5577 4.5577 5.1854 90.00 90.00 90.00
Closest atoms and distances in Å follow each position.
Space group P4/mmm (No. 123)
One atom of each set of equivalent atoms:
Zr (0.0000, 0.0000, 0.0000)  4 Cd 3.22, 8 Ru 3.45
Cd (0.5000, 0.5000, 0.0000)  2 Br 2.59
Ru (0.0000, 0.5000, 0.5000)  2 Br 2.28
Br (0.5000, 0.5000, 0.5000)  4 Ru 2.28

Output
* energy relative to the elements, uncorrected: 6.1 eV/f.u.

=====

DFT total energy (computed, eV/cell): -26.15, -161.75, -73.06, -53.02, -77.92, -23.62
Total magnetic moment (computed, Bohr magnetons per cell): 2.80, 0.00, 2.67, 0.00, 0.00, 0.00